An optimized crystal structure of MgFeIrO6, computed with PBE with a Hubbard U.

DFT total energy (Ha/atom): -0.23126
Fermi-level density of states (states/eV/cell): 9.1
Theoretical density (g/cm³): 6.33

Cell: 5.0631 5.0631 8.7113 Å, 90.00 90.00 120.00°
With the nearest neighbours (Å) after each atom.
Space group P-31c (No. 163)
Unique sites:
1 Mg 0.3333 0.6667 0.2500 (multiplicity 2)  6 O 2.05
2 Fe 0.0000 0.0000 0.0000 (multiplicity 2)  6 O 2.05
3 Ir 0.3333 0.6667 0.7500 (multiplicity 2)  6 O 1.92
4 O 0.0200 0.3500 0.6264 (multiplicity 12)  1 Ir 1.92, 1 Fe 2.05, 1 Mg 2.05